Record 1
A plane-wave DFT calculation with GGA-PBE was carried out for a relaxed structure of PmPrY3.

E_form in eV/atom: 0.0175
M_tot in Bohr magnetons per cell: 0.0
Uncorrected energy in hartree per atom: -0.2119
Relative energy among the computed polymorphs in meV per atom: 0

Cell: 5.1087 8.1114 11.4405 Å, 135.18 90.00 90.00°
Last column: nearest neighbours and their distance in Å.
Sites, in units of the cell vectors:
Pm 0.4221 0.6875 0.1427  9 Y 3.60-3.62, 2 Pm 3.60, 1 Pr 3.64
Pm 0.9221 0.8907 0.4425  9 Y 3.60-3.62, 2 Pm 3.60, 1 Pr 3.64
Y 0.4221 0.0906 0.7421  6 Y 3.60-3.62, 3 Pm 3.60-3.61, 3 Pr 3.63-3.64
Y 0.9221 0.0878 0.2417  3 Pr 3.60-3.61, 6 Y 3.61-3.63, 3 Pm 3.61-3.62
Y 0.4221 0.2866 0.5412  3 Pm 3.60, 6 Y 3.61-3.63, 3 Pr 3.62-3.63
Y 0.4221 0.4904 0.3436  3 Pr 3.60-3.61, 6 Y 3.61-3.63, 3 Pm 3.61-3.62
Y 0.9221 0.4877 0.8431  6 Y 3.60-3.62, 3 Pm 3.60-3.61, 3 Pr 3.63-3.64
Y 0.9221 0.2917 0.0441  3 Pm 3.60, 6 Y 3.61-3.63, 3 Pr 3.62-3.63
Pr 0.4221 0.8902 0.9432  9 Y 3.60-3.64, 2 Pr 3.61, 1 Pm 3.64
Pr 0.9221 0.6881 0.6421  9 Y 3.60-3.64, 2 Pr 3.61, 1 Pm 3.64

***

Record 2
A plane-wave DFT calculation with GGA-PBE was carried out for a relaxed structure of Pm2GdSi.

M_tot in Bohr magnetons per cell: 7.6
Uncorrected energy in hartree per atom: -0.2763
Relative energy among the computed polymorphs in meV per atom: 0
E_form (uncorrected) in eV/atom: -0.2668

Cell: 4.6963 4.7396 4.7396 Å, 90.00 90.00 90.00°
Last column: nearest neighbours and their distance in Å.
Sites, in units of the cell vectors:
Gd 0.5000 0.0000 0.0000  8 Pm 3.34, 4 Si 3.35
Pm 0.0000 0.0000 0.5000  4 Gd 3.34, 4 Si 3.34, 4 Pm 3.35
Pm 0.0000 0.5000 0.0000  4 Gd 3.34, 4 Si 3.34, 4 Pm 3.35
Si 0.5000 0.5000 0.5000  8 Pm 3.34, 4 Gd 3.35

***

Record 3
A plane-wave DFT calculation with GGA-PBE was carried out for a relaxed structure of Ac3SiN.

M_tot in Bohr magnetons per cell: 0.0
Uncorrected energy in hartree per atom: -0.2128
Relative energy among the computed polymorphs in meV per atom: 17
E_form (uncorrected) in eV/atom: -0.5762

Cell: 8.6700 8.6700 4.0171 Å, 90.00 90.00 107.33°
Last column: nearest neighbours and their distance in Å.
Sites, in units of the cell vectors:
Ac 0.6796 0.3204 0.5000  2 N 2.75
Ac 0.3179 0.0626 0.0000  2 N 2.71
Ac 0.9374 0.6821 0.0000  2 N 2.71
Ac 0.0626 0.3179 0.0000  2 N 2.71
Ac 0.3204 0.6796 0.5000  2 N 2.75
Ac 0.6821 0.9374 0.0000  2 N 2.71
N 0.5000 0.0000 0.5000  6 Ac 2.71-2.75
N 0.0000 0.5000 0.5000  6 Ac 2.71-2.75
Si 0.0000 0.0000 0.5000  8 Ac 3.32
Si 0.5000 0.5000 0.0000  4 Ac 3.21

***

Record 4
A plane-wave DFT calculation with GGA-PBE was carried out for a relaxed structure of NdTmSnPb.

E_form in eV/atom: -0.4547
M_tot in Bohr magnetons per cell: 0.0
Uncorrected energy in hartree per atom: -0.1724

Cell: 5.4525 5.4525 5.4525 Å, 60.00 60.00 60.00°
Last column: nearest neighbours and their distance in Å.
Sites, in units of the cell vectors:
Pb 0.7500 0.7500 0.7500  4 Nd 3.34, 4 Tm 3.34
Sn 0.2500 0.2500 0.2500  4 Nd 3.34, 4 Tm 3.34
Nd 0.5000 0.5000 0.5000  4 Sn 3.34, 4 Pb 3.34
Tm 0.0000 0.0000 0.0000  4 Pb 3.34, 4 Sn 3.34

***

Record 5
A plane-wave DFT calculation with GGA-PBE was carried out for a relaxed structure of VCl3.

M_tot in Bohr magnetons per cell: 2.0
Uncorrected energy in hartree per atom: -0.1370
E_form (uncorrected) in eV/atom: -0.0630

Cell: 4.6931 4.6931 4.6931 Å, 60.00 60.00 60.00°
Last column: nearest neighbours and their distance in Å.
Sites, in units of the cell vectors:
Cl 0.2500 0.2500 0.2500  4 Cl 2.87, 4 V 2.87
Cl 0.0000 0.0000 0.0000  8 Cl 2.87
Cl 0.7500 0.7500 0.7500  4 V 2.87, 4 Cl 2.87
V 0.5000 0.5000 0.5000  8 Cl 2.87

***

Record 6
A plane-wave DFT calculation with GGA-PBE was carried out for a relaxed structure of GeBiTe2N.

M_tot in Bohr magnetons per cell: 1.3
Uncorrected energy in hartree per atom: -0.1300
Relative energy among the computed polymorphs in meV per atom: 542
E_form (uncorrected) in eV/atom: 1.0850

Cell: 5.9602 5.9602 4.3401 Å, 90.00 90.00 90.00°
Last column: nearest neighbours and their distance in Å.
Sites, in units of the cell vectors:
Te 0.0000 0.5000 0.0000  2 Bi 2.98
Te 0.5000 0.0000 0.0000  2 Bi 2.98
Bi 0.0000 0.0000 0.0000  2 N 2.17
N 0.0000 0.0000 0.5000  2 Bi 2.17
Ge 0.5000 0.5000 0.5000  8 Te 3.69

***

Record 7
A plane-wave DFT calculation with GGA-PBE was carried out for a relaxed structure of MgMoP2W.

E_form in eV/atom: 1.9729
M_tot in Bohr magnetons per cell: 0.0
Uncorrected energy in hartree per atom: -0.1936

Cell: 4.4613 4.5727 4.4613 Å, 90.00 90.00 90.00°
Last column: nearest neighbours and their distance in Å.
Sites, in units of the cell vectors:
Mo 0.0000 0.5000 0.0000  2 Mg 2.29
P 0.0000 0.0000 0.5000  2 Mg 2.23
P 0.5000 0.0000 0.0000  2 Mg 2.23
W 0.5000 0.5000 0.5000  4 Mo 3.15, 8 P 3.19
Mg 0.0000 0.0000 0.0000  4 P 2.23, 2 Mo 2.29

***

Record 8
A plane-wave DFT calculation with GGA-PBE was carried out for a relaxed structure of TbInPb2S5.

M_tot in Bohr magnetons per cell: 0.0
Uncorrected energy in hartree per atom: -0.1797
E_form (uncorrected) in eV/atom: -0.9532

Cell: 4.0195 9.1331 12.9311 Å, 90.00 90.00 102.71°
Last column: nearest neighbours and their distance in Å.
Sites, in units of the cell vectors:
Pb 0.1284 0.2568 0.6665  3 S 2.83-2.86
Pb 0.8716 0.7432 0.1665  3 S 2.83-2.86
Pb 0.8699 0.7397 0.8131  4 S 2.87-3.11
Pb 0.1301 0.2603 0.3131  4 S 2.87-3.11
S 0.3167 0.6335 0.3776  1 In 2.57, 2 Tb 2.77
S 0.4811 0.9622 0.7732  1 In 2.42
S 0.5189 0.0378 0.2732  1 In 2.42
S 0.6832 0.3665 0.8776  1 In 2.57, 2 Tb 2.77
S 0.3580 0.7160 0.0140  1 Tb 2.70, 2 Pb 2.83
S 0.7112 0.4224 0.1672  2 Tb 2.76, 1 Pb 2.86
S 0.6420 0.2840 0.5140  1 Tb 2.70, 2 Pb 2.83
S 0.9540 0.9080 0.5531  2 In 2.50
S 0.2888 0.5776 0.6672  2 Tb 2.76, 1 Pb 2.86
S 0.0460 0.0920 0.0531  2 In 2.50
Tb 0.7937 0.5875 0.5211  6 S 2.70-2.89
Tb 0.2063 0.4125 0.0211  6 S 2.70-2.89
In 0.5456 0.0913 0.9382  4 S 2.42-2.57
In 0.4544 0.9087 0.4382  4 S 2.42-2.57

***

Record 9
A plane-wave DFT calculation with GGA-PBE was carried out for a relaxed structure of GdHg6.

E_form in eV/atom: 0.3665
M_tot in Bohr magnetons per cell: 7.3
Uncorrected energy in hartree per atom: -0.0700

Cell: 6.8792 6.8792 6.8792 Å, 109.47 109.47 109.47°
Last column: nearest neighbours and their distance in Å.
Sites, in units of the cell vectors:
Hg 0.5000 0.7500 0.2500  4 Hg 2.81
Hg 0.2500 0.5000 0.7500  4 Hg 2.81
Hg 0.2500 0.7500 0.5000  4 Hg 2.81
Hg 0.7500 0.5000 0.2500  4 Hg 2.81
Hg 0.7500 0.2500 0.5000  4 Hg 2.81
Hg 0.5000 0.2500 0.7500  4 Hg 2.81
Gd 0.0000 0.0000 0.0000  24 Hg 4.44

***

Record 10
A plane-wave DFT calculation with GGA-PBE was carried out for a relaxed structure of Ti2IrC.

E_form in eV/atom: -0.1002
M_tot in Bohr magnetons per cell: 0.0
Uncorrected energy in hartree per atom: -0.3149

Cell: 5.9886 5.9886 5.3473 Å, 55.95 55.95 90.00°
Last column: nearest neighbours and their distance in Å.
Sites, in units of the cell vectors:
C 0.2500 0.7500 0.5000  4 Ti 2.03
C 0.5000 0.5000 0.0000  4 Ti 2.03
Ti 0.3750 0.4414 0.7500  2 C 2.03
Ti 0.5586 0.1250 0.2500  2 C 2.03
Ti 0.8750 0.8086 0.7500  2 C 2.03
Ti 0.1914 0.6250 0.2500  2 C 2.03
Ir 0.0000 0.0000 0.0000  4 Ti 2.55
Ir 0.7500 0.2500 0.5000  4 Ti 2.55

***

> M_tot of number 3 (Ac3SiN)?

0.0 Bohr magnetons per cell